[1]
{"formula": "PrZn2", "functional": "GGA-PBE", "state": "relaxed", "total_energy_ev_per_atom": -2.620, "formation_enthalpy_0k_kcal_per_mol_atoms": -4.3, "cell": [[3.519, 0.000, 0.000], [0.000, 14.326, 0.000], [0.000, 0.000, 5.203]], "species": ["Pr", "Pr", "Pr", "Pr", "Zn", "Zn", "Zn", "Zn", "Zn", "Zn", "Zn", "Zn"], "fractional_positions": [[0.000, 0.106, 0.250], [0.000, 0.894, 0.750], [0.500, 0.394, 0.750], [0.500, 0.606, 0.250], [0.000, 0.219, 0.750], [0.000, 0.425, 0.250], [0.000, 0.575, 0.750], [0.000, 0.781, 0.250], [0.500, 0.075, 0.750], [0.500, 0.281, 0.250], [0.500, 0.719, 0.750], [0.500, 0.925, 0.250]]}

[2]
{"formula": "PmCuGe", "functional": "GGA-PBE", "state": "relaxed", "polymorph_energy_ev_per_fu": 0.38, "total_energy_ev_per_atom": -4.905, "cell": [[6.340, 0.000, 0.000], [0.000, 6.340, 0.000], [0.000, 0.000, 6.340]], "species": ["Pm", "Pm", "Pm", "Pm", "Cu", "Cu", "Cu", "Cu", "Ge", "Ge", "Ge", "Ge"], "fractional_positions": [[0.000, 0.000, 0.000], [0.000, 0.500, 0.500], [0.500, 0.000, 0.500], [0.500, 0.500, 0.000], [0.250, 0.250, 0.750], [0.250, 0.750, 0.250], [0.750, 0.250, 0.250], [0.750, 0.750, 0.750], [0.000, 0.000, 0.500], [0.000, 0.500, 0.000], [0.500, 0.000, 0.000], [0.500, 0.500, 0.500]]}

[3]
{"formula": "InIr2", "functional": "GGA-PBE", "state": "relaxed", "total_energy_ev_per_atom": -6.060, "cell": [[6.133, 0.000, 0.000], [0.000, 6.133, 0.000], [0.000, 0.000, 6.133]], "species": ["In", "In", "In", "In", "Ir", "Ir", "Ir", "Ir", "Ir", "Ir", "Ir", "Ir"], "fractional_positions": [[0.000, 0.000, 0.000], [0.000, 0.500, 0.500], [0.500, 0.000, 0.500], [0.500, 0.500, 0.000], [0.250, 0.250, 0.250], [0.250, 0.250, 0.750], [0.250, 0.750, 0.250], [0.250, 0.750, 0.750], [0.750, 0.250, 0.250], [0.750, 0.250, 0.750], [0.750, 0.750, 0.250], [0.750, 0.750, 0.750]]}

Q: What is the formula in the third record?
A: InIr2